*1*
{"formula": "TcPt2Au", "functional": "SCAN", "state": "PBEsol geometry", "magnetic_moment_mub_per_atom": 0.00, "space_group": "No. 12", "lattice": [[2.757, 0.000, 0.000], [-1.379, 4.557, -0.008], [0.000, -0.786, 4.797]], "species": ["Au", "Pt", "Pt", "Tc"], "fractional_positions": [[0.500, 0.000, 0.000], [0.744, 0.489, 0.738], [0.256, 0.511, 0.262], [0.000, 0.000, 0.500]]}

*2*
{"formula": "TcPt2Au", "functional": "SCAN", "state": "PBEsol geometry", "magnetic_moment_mub_per_atom": 0.00, "space_group": "No. 25", "lattice": [[2.755, 0.000, 0.000], [0.000, 3.930, 0.000], [0.000, 0.000, 5.577]], "species": ["Au", "Pt", "Pt", "Tc"], "fractional_positions": [[0.500, 0.500, 0.748], [0.000, 0.000, 0.004], [0.500, 0.500, 0.264], [0.000, 0.000, 0.484]]}

*3*
{"formula": "TcPt2Au", "functional": "SCAN", "state": "PBEsol geometry", "magnetic_moment_mub_per_atom": 0.00, "space_group": "No. 123", "lattice": [[2.752, 0.000, 0.000], [0.000, 2.752, 0.000], [0.000, 0.000, 7.980]], "species": ["Au", "Tc", "Pt", "Pt"], "fractional_positions": [[0.500, 0.500, 0.500], [0.500, 0.500, 0.000], [0.000, 0.000, 0.769], [0.000, 0.000, 0.231]]}

*4*
{"formula": "TcPt2Au", "functional": "SCAN", "state": "PBEsol geometry", "magnetic_moment_mub_per_atom": 0.00, "space_group": "No. 119", "lattice": [[-3.376, 1.985, 0.083], [-0.238, -0.566, 3.869], [3.781, 2.622, -1.367]], "species": ["Au", "Pt", "Pt", "Tc"], "fractional_positions": [[0.250, 0.750, 0.500], [0.000, 0.000, 0.000], [0.750, 0.250, 0.500], [0.500, 0.500, 0.000]]}

Relative energy of each structure, in kJ/mol of atoms: *1* 19.4; *2* 20.8; *3* 0.0; *4* 25.3.

*1*
{"formula": "PtW2Au", "functional": "SCAN", "state": "PBEsol geometry", "magnetic_moment_mub_per_atom": 0.00, "space_group": "No. 8", "lattice": [[2.734, -0.244, 0.185], [1.155, 2.490, 0.185], [1.876, 1.083, 9.124]], "species": ["Au", "Pt", "W", "W"], "fractional_positions": [[0.477, 0.477, 0.502], [0.276, 0.276, 0.238], [0.052, 0.052, 0.002], [0.695, 0.695, 0.758]]}

*2*
{"formula": "PtW2Au", "functional": "SCAN", "state": "PBEsol geometry", "magnetic_moment_mub_per_atom": 0.00, "space_group": "No. 25", "lattice": [[-0.795, 2.617, 0.336], [-4.208, -1.388, 0.854], [1.082, -0.294, 4.851]], "species": ["Au", "Pt", "W", "W"], "fractional_positions": [[0.500, 0.000, 0.531], [0.500, 0.500, 0.214], [0.000, 0.000, 0.033], [0.000, 0.500, 0.722]]}

Relative energy of each structure, in kJ/mol of atoms: *1* 0.8; *2* 0.0.

*1*
{"formula": "ReRhAu2", "functional": "SCAN", "state": "PBEsol geometry", "magnetic_moment_mub_per_atom": 0.00, "space_group": "No. 47", "lattice": [[-1.940, 1.949, 0.326], [-2.797, -2.574, -1.257], [-0.798, -1.660, 5.175]], "species": ["Au", "Au", "Re", "Rh"], "fractional_positions": [[0.000, 0.000, 0.752], [0.000, 0.000, 0.248], [0.500, 0.500, 0.000], [0.500, 0.500, 0.500]]}

*2*
{"formula": "ReRhAu2", "functional": "SCAN", "state": "PBEsol geometry", "magnetic_moment_mub_per_atom": 0.00, "space_group": "No. 225", "lattice": [[4.425, 0.000, 0.000], [2.213, 3.832, 0.000], [2.213, 1.277, 3.613]], "species": ["Au", "Au", "Re", "Rh"], "fractional_positions": [[0.250, 0.250, 0.250], [0.750, 0.750, 0.750], [0.000, 0.000, 0.000], [0.500, 0.500, 0.500]]}

Relative energy of each structure, in kJ/mol of atoms: *1* 0.0; *2* 11.3.

*1*
{"formula": "ReRh2Au", "functional": "SCAN", "state": "PBEsol geometry", "magnetic_moment_mub_per_atom": 0.00, "space_group": "No. 47", "lattice": [[2.743, 0.000, 0.000], [0.000, 4.567, 0.000], [0.000, 0.000, 4.717]], "species": ["Au", "Re", "Rh", "Rh"], "fractional_positions": [[0.500, 0.500, 0.000], [0.000, 0.500, 0.500], [0.000, 0.000, 0.000], [0.500, 0.000, 0.500]]}

*2*
{"formula": "ReRh2Au", "functional": "SCAN", "state": "PBEsol geometry", "magnetic_moment_mub_per_atom": 0.00, "space_group": "No. 99", "lattice": [[-0.670, -0.383, 2.607], [-2.529, -0.660, -0.747], [2.133, -7.533, -0.559]], "species": ["Au", "Re", "Rh", "Rh"], "fractional_positions": [[0.000, 0.000, 0.500], [0.500, 0.500, 0.764], [0.000, 0.000, 0.996], [0.500, 0.500, 0.240]]}

Relative energy of each structure, in kJ/mol of atoms: *1* 27.4; *2* 0.0.

*1*
{"formula": "ReRh2Au", "functional": "SCAN", "state": "PBEsol geometry", "magnetic_moment_mub_per_atom": 0.00, "space_group": "No. 123", "lattice": [[3.776, 0.000, 0.000], [0.000, 3.913, 0.000], [0.000, 0.000, 3.913]], "species": ["Au", "Re", "Rh", "Rh"], "fractional_positions": [[0.500, 0.500, 0.500], [0.500, 0.000, 0.000], [0.000, 0.000, 0.500], [0.000, 0.500, 0.000]]}

*2*
{"formula": "ReRh2Au", "functional": "SCAN", "state": "PBEsol geometry", "magnetic_moment_mub_per_atom": 0.00, "space_group": "No. 166", "lattice": [[-1.437, 0.044, -2.325], [-0.453, -2.322, -1.371], [-8.227, -2.037, 3.439]], "species": ["Re", "Au", "Rh", "Rh"], "fractional_positions": [[0.000, 0.000, 0.000], [0.500, 0.500, 0.500], [0.255, 0.255, 0.235], [0.745, 0.745, 0.765]]}

*3*
{"formula": "ReRh2Au", "functional": "SCAN", "state": "PBEsol geometry", "magnetic_moment_mub_per_atom": 0.00, "space_group": "No. 25", "lattice": [[-1.303, 1.695, -1.701], [-3.383, -1.785, 0.814], [-0.842, 3.462, 4.096]], "species": ["Au", "Re", "Rh", "Rh"], "fractional_positions": [[0.000, 0.000, 0.497], [0.500, 0.500, 0.773], [0.000, 0.000, 0.986], [0.500, 0.500, 0.244]]}

*4*
{"formula": "ReRh2Au", "functional": "SCAN", "state": "PBEsol geometry", "magnetic_moment_mub_per_atom": 0.00, "space_group": "No. 123", "lattice": [[-0.209, 1.421, -2.343], [-2.401, -1.227, -0.530], [-3.711, 5.641, 3.751]], "species": ["Re", "Au", "Rh", "Rh"], "fractional_positions": [[0.500, 0.500, 0.500], [0.500, 0.500, 0.000], [0.000, 0.000, 0.730], [0.000, 0.000, 0.270]]}

Relative energy of each structure, in kJ/mol of atoms: *1* 37.5; *2* 4.0; *3* 21.0; *4* 0.0.

*1*
{"formula": "Re2RhAu", "functional": "SCAN", "state": "PBEsol geometry", "magnetic_moment_mub_per_atom": 0.00, "space_group": "No. 123", "lattice": [[3.807, 0.000, 0.000], [0.000, 3.807, 0.000], [0.000, 0.000, 4.042]], "species": ["Au", "Re", "Re", "Rh"], "fractional_positions": [[0.000, 0.000, 0.500], [0.000, 0.500, 0.000], [0.500, 0.000, 0.000], [0.500, 0.500, 0.500]]}

*2*
{"formula": "Re2RhAu", "functional": "SCAN", "state": "PBEsol geometry", "magnetic_moment_mub_per_atom": 0.00, "space_group": "No. 25", "lattice": [[2.710, 0.000, 0.000], [0.000, 3.912, 0.000], [0.000, 0.000, 5.558]], "species": ["Au", "Re", "Re", "Rh"], "fractional_positions": [[0.500, 0.500, 0.747], [0.000, 0.000, 0.016], [0.500, 0.500, 0.247], [0.000, 0.000, 0.490]]}

Relative energy of each structure, in kJ/mol of atoms: *1* 15.7; *2* 0.0.

*1*
{"formula": "ReSb2Au", "functional": "SCAN", "state": "PBEsol geometry", "magnetic_moment_mub_per_atom": 0.00, "space_group": "No. 122", "lattice": [[-2.822, 5.397, -0.698], [-4.680, -2.808, -2.791], [1.107, -2.011, 6.898]], "species": ["Re", "Re", "Au", "Au", "Sb", "Sb", "Sb", "Sb"], "fractional_positions": [[0.750, 0.250, 0.500], [0.500, 0.500, 0.000], [0.250, 0.750, 0.500], [0.000, 0.000, 0.000], [0.394, 0.875, 0.250], [0.856, 0.375, 0.250], [0.125, 0.144, 0.750], [0.625, 0.606, 0.750]]}

*2*
{"formula": "ReSb2Au", "functional": "SCAN", "state": "PBEsol geometry", "magnetic_moment_mub_per_atom": 0.00, "space_group": "No. 44", "lattice": [[3.147, 0.000, 0.000], [0.000, 4.139, 0.000], [-1.574, -2.070, 6.406]], "species": ["Au", "Re", "Sb", "Sb"], "fractional_positions": [[0.563, 0.563, 0.127], [0.274, 0.774, 0.547], [0.944, 0.944, 0.889], [0.719, 0.219, 0.437]]}

*3*
{"formula": "ReSb2Au", "functional": "SCAN", "state": "PBEsol geometry", "magnetic_moment_mub_per_atom": 0.21, "space_group": "No. 35", "lattice": [[3.032, -0.021, 0.000], [-1.364, 2.708, 0.000], [0.000, 0.000, 10.071]], "species": ["Au", "Re", "Sb", "Sb"], "fractional_positions": [[0.000, 0.000, 0.480], [0.500, 0.500, 0.260], [0.000, 0.000, 0.043], [0.500, 0.500, 0.716]]}

Relative energy of each structure, in kJ/mol of atoms: *1* 15.1; *2* 0.0; *3* 19.9.

*1*
{"formula": "SrReAu2", "functional": "SCAN", "state": "PBEsol geometry", "magnetic_moment_mub_per_atom": 0.63, "space_group": "No. 225", "lattice": [[4.852, 0.000, 0.000], [2.426, 4.202, 0.000], [2.426, 1.401, 3.962]], "species": ["Au", "Au", "Re", "Sr"], "fractional_positions": [[0.750, 0.750, 0.750], [0.250, 0.250, 0.250], [0.500, 0.500, 0.500], [0.000, 0.000, 0.000]]}

*2*
{"formula": "SrReAu2", "functional": "SCAN", "state": "PBEsol geometry", "magnetic_moment_mub_per_atom": 0.19, "space_group": "No. 123", "lattice": [[-2.343, 0.344, -1.798], [-2.549, -3.431, 2.665], [-1.766, 3.642, 2.998]], "species": ["Au", "Au", "Re", "Sr"], "fractional_positions": [[0.000, 0.000, 0.500], [0.000, 0.500, 0.000], [0.500, 0.500, 0.500], [0.500, 0.000, 0.000]]}

Relative energy of each structure, in kJ/mol of atoms: *1* 17.7; *2* 0.0.